Record 1
VASP calculation (PBE) on an optimized crystal structure of Ta2NCl.

Output
uncorrected formation energy = 0.081 eV per formula unit
E_tot = -8.449 eV/atom

Geometry as CIF:
```
data_Ta2NCl
_cell_length_a 4.6494
_cell_length_b 4.6494
_cell_length_c 12.6011
_cell_angle_alpha 90.00
_cell_angle_beta 90.00
_cell_angle_gamma 90.00
_space_group_name_H-M_alt 'I -4 2 d'
_space_group_IT_number 122
_space_group_name_Hall 'I -4 2bw'
loop_
_atom_site_label
_atom_site_fract_x
_atom_site_fract_y
_atom_site_fract_z
Ta1 0.1609 0.2500 0.1250
N1 0.0000 0.0000 0.0000
Cl1 0.0000 0.0000 0.5000
```



Record 2
VASP calculation (PBE) on an optimized crystal structure of TaTe2NCl.

Output
uncorrected formation energy = 7.960 eV per formula unit
E_tot = -4.070 eV/atom

Geometry as CIF:
```
data_TaTe2NCl
_cell_length_a 5.4882
_cell_length_b 5.4882
_cell_length_c 3.3613
_cell_angle_alpha 90.00
_cell_angle_beta 90.00
_cell_angle_gamma 90.00
_space_group_name_H-M_alt 'P 4/m m m'
_space_group_IT_number 123
_space_group_name_Hall '-P 4 2'
loop_
_atom_site_label
_atom_site_fract_x
_atom_site_fract_y
_atom_site_fract_z
Ta1 0.0000 0.0000 0.0000
Te1 0.0000 0.5000 0.5000
N1 0.5000 0.5000 0.0000
Cl1 0.5000 0.5000 0.5000
```



Record 3
VASP calculation (PBE) on an optimized crystal structure of TaTe2NCl.

Output
uncorrected formation energy = 0.726 eV per formula unit
E_tot = -5.516 eV/atom

Geometry as CIF:
```
data_TaTe2NCl
_cell_length_a 5.5536
_cell_length_b 5.5536
_cell_length_c 3.9184
_cell_angle_alpha 90.00
_cell_angle_beta 90.00
_cell_angle_gamma 90.00
_space_group_name_H-M_alt 'P 4/m m m'
_space_group_IT_number 123
_space_group_name_Hall '-P 4 2'
loop_
_atom_site_label
_atom_site_fract_x
_atom_site_fract_y
_atom_site_fract_z
Ta1 0.0000 0.0000 0.0000
Te1 0.0000 0.5000 0.0000
N1 0.0000 0.0000 0.5000
Cl1 0.5000 0.5000 0.5000
```



Record 4
VASP calculation (PBE) on an optimized crystal structure of YTaNCl2.

Output
uncorrected formation energy = 0.681 eV per formula unit
E_tot = -5.931 eV/atom

Geometry as CIF:
```
data_YTaNCl2
_cell_length_a 5.3077
_cell_length_b 5.3077
_cell_length_c 3.8419
_cell_angle_alpha 90.00
_cell_angle_beta 90.00
_cell_angle_gamma 90.00
_space_group_name_H-M_alt 'P 4/m m m'
_space_group_IT_number 123
_space_group_name_Hall '-P 4 2'
loop_
_atom_site_label
_atom_site_fract_x
_atom_site_fract_y
_atom_site_fract_z
Y1 0.0000 0.0000 0.0000
Ta1 0.5000 0.5000 0.0000
N1 0.5000 0.5000 0.5000
Cl1 0.0000 0.5000 0.5000
```



Record 5
VASP calculation (PBE) on an optimized crystal structure of YTaN2Cl.

Output
uncorrected formation energy = -2.675 eV per formula unit
E_tot = -7.898 eV/atom

Geometry as CIF:
```
data_YTaN2Cl
_cell_length_a 4.1063
_cell_length_b 4.1063
_cell_length_c 4.6882
_cell_angle_alpha 90.00
_cell_angle_beta 90.00
_cell_angle_gamma 90.00
_space_group_name_H-M_alt 'P 4/m m m'
_space_group_IT_number 123
_space_group_name_Hall '-P 4 2'
loop_
_atom_site_label
_atom_site_fract_x
_atom_site_fract_y
_atom_site_fract_z
Y1 0.0000 0.0000 0.0000
Ta1 0.5000 0.5000 0.5000
N1 0.0000 0.5000 0.5000
Cl1 0.5000 0.5000 0.0000
```



Record 6
VASP calculation (PBE) on an optimized crystal structure of Tb2NCl2.

Output
uncorrected formation energy = -9.822 eV per formula unit
E_tot = -6.220 eV/atom

Geometry as CIF:
```
data_Tb2NCl2
_cell_length_a 3.6275
_cell_length_b 3.6275
_cell_length_c 30.2053
_cell_angle_alpha 90.00
_cell_angle_beta 90.00
_cell_angle_gamma 120.00
_space_group_name_H-M_alt 'R -3 m'
_space_group_IT_number 166
_space_group_name_Hall '-R 3 2"'
loop_
_atom_site_label
_atom_site_fract_x
_atom_site_fract_y
_atom_site_fract_z
Tb1 0.0000 0.0000 0.1232
N1 0.0000 0.0000 0.5000
Cl1 0.0000 0.0000 0.2693
```



Record 7
VASP calculation (PBE) on an optimized crystal structure of Tb3NCl5.

Output
uncorrected formation energy = -16.505 eV per formula unit
E_tot = -5.328 eV/atom

Geometry as CIF:
```
data_Tb3NCl5
_cell_length_a 12.0879
_cell_length_b 9.5181
_cell_length_c 8.8091
_cell_angle_alpha 90.00
_cell_angle_beta 112.30
_cell_angle_gamma 90.00
_space_group_name_H-M_alt 'C 1 2/m 1'
_space_group_IT_number 12
loop_
_space_group_symop_operation_xyz
'x,y,z'
'-x,-y,-z'
'-x,y,-z'
'x,-y,z'
'x+1/2,y+1/2,z'
'-x+1/2,-y+1/2,-z'
'-x+1/2,y+1/2,-z'
'x+1/2,-y+1/2,z'
loop_
_atom_site_label
_atom_site_fract_x
_atom_site_fract_y
_atom_site_fract_z
Tb1 0.0000 0.0000 0.0000
Tb2 0.0000 0.0000 0.5000
Tb3 0.1425 0.5000 0.1412
Tb4 0.2482 0.5000 0.6188
N1 0.0676 0.0000 0.2864
Cl1 0.0000 0.2843 0.0000
Cl2 0.0346 0.5000 0.3438
Cl3 0.1957 0.1958 0.6454
Cl4 0.2389 0.0000 0.0672
```



Record 8
VASP calculation (PBE) on an optimized crystal structure of TbNCl.

Output
uncorrected formation energy = -3.156 eV per formula unit
E_tot = -5.986 eV/atom

Geometry as CIF:
```
data_TbNCl
_cell_length_a 3.3374
_cell_length_b 3.5459
_cell_length_c 4.9046
_cell_angle_alpha 90.00
_cell_angle_beta 90.00
_cell_angle_gamma 90.00
_space_group_name_H-M_alt 'P m m m'
_space_group_IT_number 47
loop_
_space_group_symop_operation_xyz
'x,y,z'
'-x,-y,-z'
'-x,-y,z'
'x,y,-z'
'x,-y,-z'
'-x,y,z'
'-x,y,-z'
'x,-y,z'
loop_
_atom_site_label
_atom_site_fract_x
_atom_site_fract_y
_atom_site_fract_z
Tb1 0.0000 0.0000 0.0000
N1 0.5000 0.5000 0.0000
Cl1 0.5000 0.0000 0.5000
```



Record 9
VASP calculation (PBE) on an optimized crystal structure of Tb3NCl3.

Output
uncorrected formation energy = -12.616 eV per formula unit
E_tot = -5.767 eV/atom

Geometry as CIF:
```
data_Tb3NCl3
_cell_length_a 6.3628
_cell_length_b 6.3628
_cell_length_c 29.8333
_cell_angle_alpha 90.00
_cell_angle_beta 90.00
_cell_angle_gamma 120.00
_space_group_name_H-M_alt 'R -3'
_space_group_IT_number 148
_space_group_name_Hall '-R 3'
loop_
_atom_site_label
_atom_site_fract_x
_atom_site_fract_y
_atom_site_fract_z
Tb1 0.0000 0.3499 0.4551
N1 0.0000 0.0000 0.1667
Cl1 0.0000 0.3273 0.6039
```



Record 10
VASP calculation (PBE) on an optimized crystal structure of Tb4NCl5.

Output
uncorrected formation energy = -18.714 eV per formula unit
E_tot = -5.479 eV/atom

Geometry as CIF:
```
data_Tb4NCl5
_cell_length_a 16.8893
_cell_length_b 3.6667
_cell_length_c 7.7603
_cell_angle_alpha 90.00
_cell_angle_beta 103.65
_cell_angle_gamma 90.00
_space_group_name_H-M_alt 'C 1 2/m 1'
_space_group_IT_number 12
loop_
_space_group_symop_operation_xyz
'x,y,z'
'-x,-y,-z'
'-x,y,-z'
'x,-y,z'
'x+1/2,y+1/2,z'
'-x+1/2,-y+1/2,-z'
'-x+1/2,y+1/2,-z'
'x+1/2,-y+1/2,z'
loop_
_atom_site_label
_atom_site_fract_x
_atom_site_fract_y
_atom_site_fract_z
Tb1 0.0018 0.0000 0.2920
Tb2 0.1433 0.5000 0.5785
N1 0.0000 0.5000 0.5000
Cl1 0.0000 0.5000 0.0000
Cl2 0.1629 0.0000 0.8444
Cl3 0.1716 0.0000 0.3315
```



Record 11
VASP calculation (PBE) on an optimized crystal structure of Tb3N2Cl2.

Output
uncorrected formation energy = -12.425 eV per formula unit
E_tot = -6.666 eV/atom

Geometry as CIF:
```
data_Tb3N2Cl2
_cell_length_a 11.8213
_cell_length_b 3.4790
_cell_length_c 6.9863
_cell_angle_alpha 90.00
_cell_angle_beta 99.13
_cell_angle_gamma 90.00
_space_group_name_H-M_alt 'C 1 2/m 1'
_space_group_IT_number 12
loop_
_space_group_symop_operation_xyz
'x,y,z'
'-x,-y,-z'
'-x,y,-z'
'x,-y,z'
'x+1/2,y+1/2,z'
'-x+1/2,-y+1/2,-z'
'-x+1/2,y+1/2,-z'
'x+1/2,-y+1/2,z'
loop_
_atom_site_label
_atom_site_fract_x
_atom_site_fract_y
_atom_site_fract_z
Tb1 0.0000 0.0000 0.0000
Tb2 0.2295 0.0000 0.7947
N1 0.1344 0.5000 0.9301
Cl1 0.1231 0.0000 0.3805
```



Record 12
VASP calculation (PBE) on an optimized crystal structure of Tb2NCl2.

Output
uncorrected formation energy = -9.147 eV per formula unit
E_tot = -6.085 eV/atom

Geometry as CIF:
```
data_Tb2NCl2
_cell_length_a 19.8429
_cell_length_b 3.8614
_cell_length_c 7.2374
_cell_angle_alpha 90.00
_cell_angle_beta 98.05
_cell_angle_gamma 90.00
_space_group_name_H-M_alt 'C 1 2/m 1'
_space_group_IT_number 12
loop_
_space_group_symop_operation_xyz
'x,y,z'
'-x,-y,-z'
'-x,y,-z'
'x,-y,z'
'x+1/2,y+1/2,z'
'-x+1/2,-y+1/2,-z'
'-x+1/2,y+1/2,-z'
'x+1/2,-y+1/2,z'
loop_
_atom_site_label
_atom_site_fract_x
_atom_site_fract_y
_atom_site_fract_z
Tb1 0.1695 0.0000 0.3579
Tb2 0.1799 0.5000 0.9293
N1 0.2094 0.0000 0.1000
Cl1 0.0802 0.5000 0.2092
Cl2 0.1054 0.0000 0.6875
```



Record 13
VASP calculation (PBE) on an optimized crystal structure of TcN3Cl.

Output
uncorrected formation energy = 6.456 eV per formula unit
E_tot = -6.146 eV/atom

Geometry as CIF:
```
data_TcN3Cl
_cell_length_a 3.9576
_cell_length_b 3.9576
_cell_length_c 3.9576
_cell_angle_alpha 90.00
_cell_angle_beta 90.00
_cell_angle_gamma 90.00
_space_group_name_H-M_alt 'P m -3 m'
_space_group_IT_number 221
_space_group_name_Hall '-P 4 2 3'
loop_
_atom_site_label
_atom_site_fract_x
_atom_site_fract_y
_atom_site_fract_z
Tc1 0.0000 0.0000 0.0000
N1 0.0000 0.0000 0.5000
Cl1 0.5000 0.5000 0.5000
```